[1]
Computed, not measured: crystalline TmTh2Tl at its relaxed geometry at the PBE level of DFT.

```
TmTh2Tl
1.0
-3.9358 0.9297 1.2504
-0.9382 -4.1261 0.1146
2.0183 -0.2768 6.5585
Tl Tm Th
1 1 2
Cartesian
-2.4370 -1.5982 0.6825 Tl
-1.4278 -1.7366 3.9618 Tm
0.4790 -0.0657 1.5565 Th
1.5393 -0.2111 5.0021 Th
```

SG	P4/mmm
total moment	0.00	μB/cell
distance to the lowest polymorph of the same formula	0.46	eV/f.u.
density of states at the Fermi level	1.47	states/eV per atom
DFT formation energy	0.025	eV per atom

=====

[2]
Computed, not measured: crystalline TmTh3Tl4 at its relaxed geometry at the PBE level of DFT.

```
TmTh3Tl4
1.0
6.8155 0.0000 0.0000
0.0000 6.8961 0.0000
0.0000 0.0000 9.8308
Tm Tl Th
2 8 6
Cartesian
2.1452 3.4487 4.9154 Tm
5.5529 3.4475 0.0000 Tm
2.1468 3.4501 0.0000 Tl
5.5473 6.8929 4.9154 Tl
0.4391 1.8175 7.3749 Tl
2.1395 0.0032 0.0000 Tl
3.8468 5.0786 2.4595 Tl
5.5545 3.4461 4.9154 Tl
3.8468 5.0786 7.3713 Tl
0.4391 1.8175 2.4559 Tl
5.5466 6.8947 0.0000 Th
3.8471 1.6240 2.4585 Th
3.8471 1.6240 7.3723 Th
0.4393 5.2721 2.4569 Th
0.4393 5.2721 7.3739 Th
2.1389 0.0014 4.9154 Th
```

SG	Pmn2_1
total moment	0.00	μB/cell
distance to the lowest polymorph of the same formula	0.58	eV/f.u.
density of states at the Fermi level	1.05	states/eV per atom
DFT formation energy	-0.109	eV per atom

=====

[3]
Computed, not measured: crystalline TmTh2Tl9 at its relaxed geometry at the PBE level of DFT.

```
TmTh2Tl9
1.0
4.8059 0.0000 0.0000
0.0000 4.8059 0.0000
0.0000 0.0000 14.3576
Tl Th Tm
9 2 1
Cartesian
0.0000 2.4030 7.1788 Tl
2.4030 0.0000 12.0419 Tl
2.4030 2.4030 9.5950 Tl
2.4030 0.0000 2.3158 Tl
0.0000 2.4030 2.3158 Tl
0.0000 2.4030 12.0419 Tl
2.4030 2.4030 4.7626 Tl
2.4030 0.0000 7.1788 Tl
2.4030 2.4030 0.0000 Tl
0.0000 0.0000 4.7617 Th
0.0000 0.0000 9.5959 Th
0.0000 0.0000 0.0000 Tm
```

SG	P4/mmm
total moment	0.00	μB/cell
density of states at the Fermi level	0.56	states/eV per atom
DFT formation energy	-0.158	eV per atom

=====

[4]
Computed, not measured: crystalline Tm3ThTl4 at its relaxed geometry at the PBE level of DFT.

```
Tm3ThTl4
1.0
-3.6796 0.6697 4.0369
-0.6251 -7.2878 0.6392
7.9837 -0.0458 7.2846
Th Tl Tm
2 8 6
Cartesian
3.6793 -3.6668 3.9619 Th
-0.3125 -3.6439 0.3196 Th
1.6757 -5.2423 6.1479 Tl
-1.5755 -1.1251 5.7283 Tl
2.0034 -1.4217 5.8128 Tl
5.2546 -5.5389 6.2324 Tl
-2.3162 -5.2194 2.5056 Tl
-1.9885 -1.3988 2.1705 Tl
5.5818 -1.7241 5.8978 Tl
-1.9027 -4.9399 6.0629 Tl
3.6138 -3.3031 8.0447 Tm
0.0000 0.0000 0.0000 Tm
3.9919 -0.0229 3.6423 Tm
3.8991 0.3458 7.7550 Tm
0.4051 0.2781 3.5665 Tm
0.0653 -3.3609 3.9160 Tm
```

SG	Pmma
total moment	0.00	μB/cell
density of states at the Fermi level	0.54	states/eV per atom
DFT formation energy	-0.232	eV per atom

=====

[5]
Computed, not measured: crystalline TmTh3Tl4 at its relaxed geometry at the PBE level of DFT.

```
TmTh3Tl4
1.0
3.5639 0.0000 0.0000
0.0000 3.5639 0.0000
0.0000 0.0000 17.9693
Tl Th Tm
4 3 1
Cartesian
0.0000 0.0000 11.2886 Tl
0.0000 0.0000 2.0769 Tl
0.0000 0.0000 15.8924 Tl
0.0000 0.0000 6.6807 Tl
1.7819 1.7819 8.9847 Th
1.7819 1.7819 4.3779 Th
1.7819 1.7819 13.5914 Th
1.7819 1.7819 0.0000 Tm
```

SG	P4/mmm
total moment	0.12	μB/cell
distance to the lowest polymorph of the same formula	0.00	eV/f.u.
density of states at the Fermi level	1.09	states/eV per atom
DFT formation energy	-0.182	eV per atom

=====

[6]
Computed, not measured: crystalline TmTh4Tl5 at its relaxed geometry at the PBE level of DFT.

```
TmTh4Tl5
1.0
-0.3468 3.3718 1.0677
-3.4631 -0.1057 -0.7910
-4.5878 -7.1345 21.0401
Th Tl Tm
4 5 1
Cartesian
-1.8243 -2.8369 8.3662 Th
-0.8890 -1.3826 4.0772 Th
-2.7636 -4.2976 12.6739 Th
-3.6988 -5.7519 16.9628 Th
-6.0713 -4.8460 19.2458 Tl
-5.1356 -3.3909 14.9544 Tl
-4.1988 -1.9342 10.6584 Tl
-2.3263 0.9777 2.0711 Tl
-3.2621 -0.4774 6.3624 Tl
0.0000 0.0000 0.0000 Tm
```

SG	P4/mmm
total moment	0.17	μB/cell
density of states at the Fermi level	1.22	states/eV per atom
DFT formation energy	-0.172	eV per atom

=====

[7]
Computed, not measured: crystalline Tm3ThTl at its relaxed geometry at the PBE level of DFT.

```
Tm3ThTl
1.0
-2.1637 2.6083 -1.2142
-0.3255 -8.6238 -1.9275
-5.4530 3.3081 11.4606
Th Tl Tm
2 2 6
Cartesian
-4.1771 0.2991 8.0687 Th
-3.7651 -3.0065 0.2503 Th
-4.1755 -0.0708 1.9511 Tl
-3.7667 -2.6366 6.3678 Tl
-5.5266 -2.5086 9.7768 Tm
-6.9561 -2.6817 6.6210 Tm
-0.9861 -0.0257 1.6980 Tm
-5.3236 -2.8131 3.4405 Tm
-2.4156 -0.1987 -1.4579 Tm
-2.6186 0.1057 4.8785 Tm
```

SG	C2/m
total moment	0.00	μB/cell
density of states at the Fermi level	1.12	states/eV per atom
DFT formation energy	-0.086	eV per atom

=====

[8]
Computed, not measured: crystalline Tm4ThTl2 at its relaxed geometry at the PBE level of DFT.

```
Tm4ThTl2
1.0
5.0982 0.0000 0.0000
2.5491 4.4152 0.0000
2.5491 1.4717 10.1071
Tl Tm Th
2 4 1
Cartesian
5.0982 2.9435 1.9067 Tl
5.0982 2.9435 8.2004 Tl
2.5491 1.4717 1.2319 Tm
7.6474 4.4152 8.8752 Tm
7.6474 4.4152 3.4442 Tm
2.5491 1.4717 6.6630 Tm
5.0982 2.9435 5.0536 Th
```

SG	R-3m
total moment	0.04	μB/cell
distance to the lowest polymorph of the same formula	1.39	eV/f.u.
density of states at the Fermi level	1.21	states/eV per atom
DFT formation energy	0.180	eV per atom

=====

[9]
Computed, not measured: crystalline Tm3ThTl2 at its relaxed geometry at the PBE level of DFT.

```
Tm3ThTl2
1.0
3.6059 0.0000 0.0000
0.0000 3.6059 0.0000
0.0000 0.0000 12.9005
Tm Tl Th
3 2 1
Cartesian
0.0000 0.0000 0.0000 Tm
0.0000 0.0000 8.8042 Tm
0.0000 0.0000 4.0963 Tm
1.8030 1.8030 2.0513 Tl
1.8030 1.8030 10.8492 Tl
1.8030 1.8030 6.4503 Th
```

SG	P4/mmm
total moment	0.18	μB/cell
density of states at the Fermi level	0.72	states/eV per atom
DFT formation energy	-0.216	eV per atom

=====

[10]
Computed, not measured: crystalline Tm7ThTl4 at its relaxed geometry at the PBE level of DFT.

```
Tm7ThTl4
1.0
5.8376 0.0000 0.0000
2.9188 8.4917 1.1065
2.9188 1.1507 7.2427
Tm Tl Th
7 4 1
Cartesian
2.9188 0.0000 0.0000 Tm
5.8376 2.8230 1.8734 Tm
8.7564 8.0714 4.7235 Tm
2.9188 1.5709 3.6257 Tm
8.7564 4.2779 5.7528 Tm
5.8376 6.8194 6.4758 Tm
2.9188 5.3645 2.5964 Tm
2.9188 2.9073 0.6642 Tl
5.8376 3.1951 4.8109 Tl
5.8376 6.4473 3.5383 Tl
8.7564 6.7350 7.6850 Tl
0.0000 0.0000 0.0000 Th
```

SG	C2/m
total moment	0.00	μB/cell
density of states at the Fermi level	1.19	states/eV per atom
DFT formation energy	0.050	eV per atom

=====

[11]
Computed, not measured: crystalline Tm2Th2Tl3 at its relaxed geometry at the PBE level of DFT.

```
Tm2Th2Tl3
1.0
3.4744 0.0000 0.4611
0.0000 3.5504 0.0000
-0.4316 0.0000 16.5729
Tl Th Tm
3 2 2
Cartesian
2.8602 0.0000 5.0892 Tl
0.0000 0.0000 0.0000 Tl
0.1826 0.0000 11.9448 Tl
1.4313 1.7752 2.5355 Th
1.6115 1.7752 14.4985 Th
2.1912 1.7752 10.1304 Tm
0.8516 1.7752 6.9036 Tm
```

SG	Cmmm
total moment	0.00	μB/cell
density of states at the Fermi level	1.25	states/eV per atom
DFT formation energy	-0.091	eV per atom

=====

[12]
Computed, not measured: crystalline TmTh2Tl at its relaxed geometry at the PBE level of DFT.

```
TmTh2Tl
1.0
3.4029 0.0000 0.0000
1.7015 2.9470 0.0000
1.7015 0.9823 12.3420
Th Tl Tm
2 1 1
Cartesian
1.7015 0.9823 9.0429 Th
5.1044 2.9470 3.2991 Th
3.4029 1.9647 6.1710 Tl
0.0000 0.0000 0.0000 Tm
```

SG	R-3m
total moment	0.00	μB/cell
distance to the lowest polymorph of the same formula	1.14	eV/f.u.
density of states at the Fermi level	1.25	states/eV per atom
DFT formation energy	0.193	eV per atom

=====

[13]
Computed, not measured: crystalline TmThTl6 at its relaxed geometry at the PBE level of DFT.

```
TmThTl6
1.0
4.7808 0.0000 0.0000
0.0000 4.7808 0.0000
0.0000 0.0000 9.5673
Th Tl Tm
1 6 1
Cartesian
0.0000 0.0000 0.0000 Th
2.3904 0.0000 2.4563 Tl
0.0000 2.3904 2.4563 Tl
2.3904 0.0000 7.1111 Tl
2.3904 2.3904 4.7837 Tl
0.0000 2.3904 7.1111 Tl
2.3904 2.3904 0.0000 Tl
0.0000 0.0000 4.7837 Tm
```

SG	P4/mmm
total moment	0.00	μB/cell
density of states at the Fermi level	0.54	states/eV per atom
DFT formation energy	-0.161	eV per atom

=====

[14]
Computed, not measured: crystalline TmTh2Tl at its relaxed geometry at the PBE level of DFT.

```
TmTh2Tl
1.0
5.5543 0.0000 0.0000
2.7771 4.8101 0.0000
2.7771 1.6034 4.5350
Tm Th Tl
1 2 1
Cartesian
0.0000 0.0000 0.0000 Tm
2.7771 1.6034 1.1338 Th
8.3314 4.8101 3.4013 Th
5.5543 3.2068 2.2675 Tl
```

SG	Fm-3m
total moment	0.00	μB/cell
distance to the lowest polymorph of the same formula	0.81	eV/f.u.
density of states at the Fermi level	1.43	states/eV per atom
DFT formation energy	0.112	eV per atom

=====

[15]
Computed, not measured: crystalline Tm2Th2Tl7 at its relaxed geometry at the PBE level of DFT.

```
Tm2Th2Tl7
1.0
-1.1267 6.9707 1.1025
-2.5241 -1.4851 -8.0411
-5.1692 -4.9104 0.4932
Tm Tl Th
2 7 2
Cartesian
-2.8599 -0.2197 -3.6156 Tm
-5.9601 0.7948 -2.8298 Tm
-5.3064 3.6164 -4.0936 Tl
-2.2927 2.6302 -4.8574 Tl
0.0000 0.0000 0.0000 Tl
-3.5379 1.0451 -0.7600 Tl
-3.5135 -3.0412 -2.3518 Tl
-5.2820 -0.4699 -5.6853 Tl
-6.5273 -2.0550 -1.5879 Tl
-4.7277 2.3179 -7.0976 Th
-4.0923 -1.7427 0.6522 Th
```

SG	C2/m
total moment	0.00	μB/cell
density of states at the Fermi level	0.83	states/eV per atom
DFT formation energy	0.148	eV per atom

=====

[16]
Computed, not measured: crystalline Tm12ThTl3 at its relaxed geometry at the PBE level of DFT.

```
Tm12ThTl3
1.0
-1.3931 3.5389 -2.9632
-3.7315 0.9583 2.8988
10.9949 12.6715 9.9643
Tm Tl Th
12 3 1
Cartesian
4.9853 8.3749 7.6582 Tm
-2.5623 2.2486 -0.0322 Tm
8.8815 12.8081 7.1986 Tm
3.4473 6.5452 2.2738 Tm
5.6277 11.6875 7.3901 Tm
7.7123 11.5178 10.1296 Tm
2.9352 8.5844 4.9499 Tm
-0.4489 2.1121 2.7334 Tm
0.2426 5.4812 2.5097 Tm
6.1545 9.6652 4.7272 Tm
0.7203 3.4024 -0.1976 Tm
2.2781 5.2549 5.2048 Tm
5.4975 6.3358 4.9821 Tl
8.1813 9.4289 7.4144 Tl
2.8136 3.2426 2.5499 Tl
0.0000 0.0000 0.0000 Th
```

SG	P4/mmm
total moment	0.03	μB/cell
density of states at the Fermi level	1.43	states/eV per atom
DFT formation energy	-0.103	eV per atom

=====

[17]
Computed, not measured: crystalline TmThTl3 at its relaxed geometry at the PBE level of DFT.

```
TmThTl3
1.0
-9.1506 1.2145 2.2459
-2.1053 -2.9885 -6.9617
-0.1902 -7.4670 3.2629
Tl Th Tm
12 4 4
Cartesian
-5.0287 -3.5700 -3.3724 Tl
-1.7306 -6.1199 1.1654 Tl
-9.7156 -3.1211 -2.6183 Tl
-3.5705 -1.0680 -1.5205 Tl
-6.4174 -5.6710 1.9195 Tl
-7.8223 -2.8000 2.1856 Tl
-7.7484 0.1035 0.9168 Tl
-7.8017 -5.2695 -1.2012 Tl
-3.6445 -3.9715 -0.2517 Tl
-7.8757 -8.1730 0.0676 Tl
-3.6978 -9.3445 -2.3697 Tl
-3.6239 -6.4410 -3.6385 Tl
-6.4732 -2.3786 -0.7303 Th
-10.2541 -7.2569 -1.9334 Th
-4.9730 -6.8624 -0.7227 Th
-1.1921 -1.9841 0.4805 Th
-1.0527 -1.4943 -3.4809 Tm
-4.6704 -3.1262 2.7544 Tm
-4.5753 0.6073 1.1229 Tm
-1.1478 -5.2278 -1.8494 Tm
```

SG	Pnma
total moment	0.00	μB/cell
density of states at the Fermi level	0.69	states/eV per atom
DFT formation energy	0.008	eV per atom

=====

[18]
Computed, not measured: crystalline Tm4ThTl2 at its relaxed geometry at the PBE level of DFT.

```
Tm4ThTl2
1.0
4.7220 0.0000 0.0000
0.0000 6.5405 -1.6435
0.0000 0.6254 6.7147
Th Tl Tm
1 2 4
Cartesian
2.3610 3.5829 2.5356 Th
0.0000 4.9635 0.5848 Tl
0.0000 2.2024 4.4864 Tl
0.0000 1.4680 1.0388 Tm
0.0000 5.6979 4.0323 Tm
2.3610 0.3127 3.3574 Tm
2.3610 3.2702 -0.8218 Tm
```

SG	Cmmm
total moment	0.00	μB/cell
distance to the lowest polymorph of the same formula	0.00	eV/f.u.
density of states at the Fermi level	1.31	states/eV per atom
DFT formation energy	-0.019	eV per atom

=====

[19]
Computed, not measured: crystalline TmTh2Tl at its relaxed geometry at the PBE level of DFT.

```
TmTh2Tl
1.0
4.9000 0.0000 0.0000
0.0000 7.4301 0.8366
0.0000 2.0130 6.8626
Th Tm Tl
4 2 2
Cartesian
3.6750 6.9235 2.0232 Th
3.6750 4.7006 6.6431 Th
1.2250 4.7425 1.0561 Th
1.2250 2.5197 5.6761 Th
3.6750 3.5114 3.2770 Tm
1.2250 5.9318 4.4223 Tm
1.2250 1.6101 2.1749 Tl
3.6750 7.8331 5.5243 Tl
```

SG	P2_1/m
total moment	0.00	μB/cell
distance to the lowest polymorph of the same formula	0.18	eV/f.u.
density of states at the Fermi level	1.17	states/eV per atom
DFT formation energy	-0.045	eV per atom

=====

[20]
Computed, not measured: crystalline YTmThTl at its relaxed geometry at the PBE level of DFT.

```
YTmThTl
1.0
5.4924 0.0000 0.0000
2.7462 4.7566 0.0000
2.7462 1.5855 4.4846
Tm Y Tl Th
1 1 1 1
Cartesian
5.4924 3.1711 2.2423 Tm
8.2387 4.7566 3.3634 Y
0.0000 0.0000 0.0000 Tl
2.7462 1.5855 1.1211 Th
```

SG	F-43m
total moment	0.00	μB/cell
density of states at the Fermi level	1.68	states/eV per atom
DFT formation energy	0.018	eV per atom